A relaxed HoPuTlGa crystal, computed with GGA-PBE.

The space group is F-43m (No. 216) and the conventional cell measures 7.4104, 7.4104 and 7.4104 Å, with angles of 90.00, 90.00 and 90.00 degrees. The distinct sites, in fractional coordinates, are Ho at (0.0000, 0.0000, 0.0000), Pu at (0.0000, 0.0000, 0.5000), Tl at (0.2500, 0.2500, 0.7500) and Ga at (0.2500, 0.2500, 0.2500).

Its density of states at the Fermi level is 35.4 states/eV per cell. As for the total energy: -6.312 eV per atom. For the formation energy, the calculation gives -0.24 eV per atom. As for the crystal system: cubic.